Entry from the Open Quantum Materials Database: crystalline Y2CuGe2Au at its relaxed geometry (GGA-PBE). Values from VASP.

Calculated values
* energy: -5.61 eV per atom
* relative energy among the computed polymorphs: 0.000 kcal/mol of atoms
* calculated density: 7.948 g/cm3
* symmetry: P3m1 (156)

Quantum ESPRESSO input file:
```
&SYSTEM
  ibrav = 0, nat = 6, ntyp = 4
/
ATOMIC_SPECIES
Y 88.91 Y.upf
Au 196.97 Au.upf
Cu 63.55 Cu.upf
Ge 72.64 Ge.upf
CELL_PARAMETERS angstrom
4.384 0.000 0.000
-2.192 3.796 0.000
0.000 0.000 7.326
ATOMIC_POSITIONS crystal
Y 0.333 0.667 0.013
Au 0.000 0.000 0.301
Cu 0.667 0.333 0.797
Y 0.333 0.667 0.522
Ge 0.000 0.000 0.743
Ge 0.667 0.333 0.222
```

---

Entry from the Open Quantum Materials Database: crystalline Y2CuGe2Au at its relaxed geometry (GGA-PBE). Values from VASP.

Calculated values
* energy: -5.51 eV per atom
* relative energy among the computed polymorphs: 2.365 kcal/mol of atoms
* calculated density: 7.402 g/cm3
* symmetry: Pm (6)

Quantum ESPRESSO input file:
```
&SYSTEM
  ibrav = 0, nat = 24, ntyp = 4
/
ATOMIC_SPECIES
Au 196.97 Au.upf
Cu 63.55 Cu.upf
Y 88.91 Y.upf
Ge 72.64 Ge.upf
CELL_PARAMETERS angstrom
-1.490 -1.357 -7.588
-4.259 -1.087 1.031
-3.539 14.549 0.715
ATOMIC_POSITIONS crystal
Au 0.750 0.500 0.250
Cu 0.249 0.500 0.747
Y 0.187 0.500 0.563
Y 0.440 0.500 0.321
Ge 0.062 0.500 0.183
Ge 0.816 0.500 0.445
Y 0.947 0.500 0.813
Ge 0.821 0.000 0.938
Y 0.425 0.000 0.806
Cu 0.499 0.500 0.505
Ge 0.304 0.500 0.932
Ge 0.068 0.000 0.685
Cu 0.003 0.000 0.505
Ge 0.552 0.500 0.684
Y 0.178 0.000 0.058
Ge 0.563 0.000 0.188
Au 0.250 0.000 0.249
Y 0.685 0.000 0.558
Y 0.941 0.000 0.321
Cu 0.002 0.500 0.998
Ge 0.314 0.000 0.444
Au 0.749 0.000 0.749
Y 0.697 0.500 0.060
Au 0.498 0.000 0.997
```

---

Entry from the Open Quantum Materials Database: crystalline YCuGeAu at its relaxed geometry (GGA-PBE). Values from VASP.

Calculated values
* energy: -4.91 eV per atom
* relative energy among the computed polymorphs: 0.136 kcal/mol of atoms
* calculated density: 9.220 g/cm3
* symmetry: F-43m (216)

Quantum ESPRESSO input file:
```
&SYSTEM
  ibrav = 0, nat = 4, ntyp = 4
/
ATOMIC_SPECIES
Y 88.91 Y.upf
Au 196.97 Au.upf
Ge 72.64 Ge.upf
Cu 63.55 Cu.upf
CELL_PARAMETERS angstrom
-3.852 -1.999 -1.943
-4.077 2.435 -0.241
-1.609 1.532 -4.204
ATOMIC_POSITIONS crystal
Y 0.500 0.500 0.500
Au 0.250 0.250 0.250
Ge 0.000 0.000 0.000
Cu 0.750 0.750 0.750
```

---

Entry from the Open Quantum Materials Database: crystalline ZnCuGeAu at its relaxed geometry (GGA-PBE). Values from VASP.

Calculated values
* energy: -3.13 eV per atom
* relative energy among the computed polymorphs: 0.229 kcal/mol of atoms
* calculated density: 10.283 g/cm3
* symmetry: F-43m (216)

Quantum ESPRESSO input file:
```
&SYSTEM
  ibrav = 0, nat = 4, ntyp = 4
/
ATOMIC_SPECIES
Cu 63.55 Cu.upf
Ge 72.64 Ge.upf
Zn 65.41 Zn.upf
Au 196.97 Au.upf
CELL_PARAMETERS angstrom
4.226 -1.542 0.052
2.816 1.266 3.271
1.276 -2.958 3.139
ATOMIC_POSITIONS crystal
Cu 0.750 0.750 0.750
Ge 0.000 0.000 0.000
Zn 0.500 0.500 0.500
Au 0.250 0.250 0.250
```

---

Entry from the Open Quantum Materials Database: crystalline ZnCuGeAu at its relaxed geometry (GGA-PBE). Values from VASP.

Calculated values
* energy: -3.14 eV per atom
* relative energy among the computed polymorphs: 0.000 kcal/mol of atoms
* calculated density: 10.378 g/cm3
* symmetry: F-43m (216)

Quantum ESPRESSO input file:
```
&SYSTEM
  ibrav = 0, nat = 4, ntyp = 4
/
ATOMIC_SPECIES
Cu 63.55 Cu.upf
Zn 65.41 Zn.upf
Au 196.97 Au.upf
Ge 72.64 Ge.upf
CELL_PARAMETERS angstrom
3.641 -2.593 0.359
-0.303 -4.409 -0.762
1.861 -1.774 -3.674
ATOMIC_POSITIONS crystal
Cu 0.750 0.750 0.750
Zn 0.250 0.250 0.250
Au 0.500 0.500 0.500
Ge 0.000 0.000 0.000
```

---

Entry from the Open Quantum Materials Database: crystalline ZrCuGeAu at its relaxed geometry (GGA-PBE). Values from VASP.

Calculated values
* energy: -5.31 eV per atom
* relative energy among the computed polymorphs: 0.000 kcal/mol of atoms
* calculated density: 10.112 g/cm3
* symmetry: F-43m (216)

Quantum ESPRESSO input file:
```
&SYSTEM
  ibrav = 0, nat = 4, ntyp = 4
/
ATOMIC_SPECIES
Cu 63.55 Cu.upf
Au 196.97 Au.upf
Ge 72.64 Ge.upf
Zr 91.22 Zr.upf
CELL_PARAMETERS angstrom
-2.760 -1.081 -3.542
-3.628 2.678 -1.001
0.027 2.591 -3.824
ATOMIC_POSITIONS crystal
Cu 0.750 0.750 0.750
Au 0.500 0.500 0.500
Ge 0.000 0.000 0.000
Zr 0.250 0.250 0.250
```

---

Entry from the Open Quantum Materials Database: crystalline ZrCuGeAu at its relaxed geometry (GGA-PBE). Values from VASP.

Calculated values
* energy: -5.18 eV per atom
* relative energy among the computed polymorphs: 2.817 kcal/mol of atoms
* calculated density: 10.009 g/cm3
* symmetry: F-43m (216)

Quantum ESPRESSO input file:
```
&SYSTEM
  ibrav = 0, nat = 4, ntyp = 4
/
ATOMIC_SPECIES
Zr 91.22 Zr.upf
Cu 63.55 Cu.upf
Ge 72.64 Ge.upf
Au 196.97 Au.upf
CELL_PARAMETERS angstrom
0.000 3.277 3.277
3.277 0.000 3.277
3.277 3.277 0.000
ATOMIC_POSITIONS crystal
Zr 0.500 0.500 0.500
Cu 0.750 0.750 0.750
Ge 0.000 0.000 0.000
Au 0.250 0.250 0.250
```

---

Entry from the Open Quantum Materials Database: crystalline Sr2CuH6Au at its relaxed geometry (GGA-PBE). Values from VASP.

Calculated values
* energy: -3.34 eV per atom
* calculated density: 6.485 g/cm3
* symmetry: Fm-3m (225)

Quantum ESPRESSO input file:
```
&SYSTEM
  ibrav = 0, nat = 10, ntyp = 4
/
ATOMIC_SPECIES
Sr 87.62 Sr.upf
H 1.01 H.upf
Cu 63.55 Cu.upf
Au 196.97 Au.upf
CELL_PARAMETERS angstrom
5.066 -1.780 0.801
1.238 -5.194 -0.978
3.126 -1.292 -4.246
ATOMIC_POSITIONS crystal
Sr 0.750 0.750 0.750
H 0.267 0.733 0.733
Cu 0.500 0.500 0.500
H 0.733 0.267 0.733
Au 0.000 0.000 0.000
H 0.733 0.733 0.267
H 0.267 0.733 0.267
H 0.267 0.267 0.733
Sr 0.250 0.250 0.250
H 0.733 0.267 0.267
```